1.
VASP calculation (GGA-PBE) on a relaxed structure of Pm5Tm12Mg2.

Lattice parameters (Å, degrees): 9.1832 8.9849 8.3368 91.20 90.00 120.73
With the nearest neighbours (Å) after each atom.
Fractional positions:
1 Tm 0.4359 0.2537 0.6723  5 Tm 3.33-3.56, 4 Pm 3.40-3.72, 1 Mg 3.41
2 Tm 0.5565 0.1130 0.3325  2 Mg 3.28, 2 Pm 3.31-3.55, 7 Tm 3.33-3.48
3 Tm 0.4435 0.8870 0.6675  2 Mg 3.28, 2 Pm 3.31-3.55, 7 Tm 3.33-3.48
4 Tm 0.5641 0.7463 0.3277  5 Tm 3.33-3.56, 4 Pm 3.40-3.72, 1 Mg 3.41
5 Tm 0.6726 0.7072 0.7601  1 Mg 3.29, 4 Tm 3.32-3.57, 4 Pm 3.49-3.61
6 Tm 0.8178 0.2537 0.6723  5 Tm 3.33-3.56, 4 Pm 3.40-3.72, 1 Mg 3.41
7 Tm 0.0346 0.7072 0.7601  1 Mg 3.29, 4 Tm 3.32-3.57, 4 Pm 3.49-3.61
8 Tm 0.9654 0.2928 0.2399  1 Mg 3.29, 4 Tm 3.32-3.57, 4 Pm 3.49-3.61
9 Tm 0.1822 0.7463 0.3277  5 Tm 3.33-3.56, 4 Pm 3.40-3.72, 1 Mg 3.41
10 Tm 0.3274 0.2928 0.2399  1 Mg 3.29, 4 Tm 3.32-3.57, 4 Pm 3.49-3.61
11 Tm 0.9221 0.8443 0.1203  3 Tm 3.17-3.42, 2 Pm 3.36-3.43, 2 Mg 3.43
12 Tm 0.0779 0.1557 0.8797  3 Tm 3.17-3.42, 2 Pm 3.36-3.43, 2 Mg 3.43
13 Pm 0.7660 0.5319 0.4256  8 Tm 3.31-3.55, 2 Pm 3.52-3.65
14 Pm 0.7058 0.4116 0.0157  8 Tm 3.43-3.61, 1 Pm 3.52, 2 Mg 3.54
15 Pm 0.2942 0.5884 0.9843  8 Tm 3.43-3.61, 1 Pm 3.52, 2 Mg 3.54
16 Pm 0.2340 0.4681 0.5744  8 Tm 3.31-3.55, 2 Pm 3.52-3.65
17 Pm 0.0000 0.0000 0.5000  10 Tm 3.36-3.72, 2 Pm 3.65
18 Mg 0.3312 0.0000 0.0000  1 Mg 3.10, 8 Tm 3.28-3.43
19 Mg 0.6688 0.0000 0.0000  1 Mg 3.10, 8 Tm 3.28-3.43

Output
- Crystal system: monoclinic



2.
VASP calculation (GGA-PBE) on a relaxed structure of Pm4TmMg7.

Lattice parameters (Å, degrees): 5.7228 11.0237 6.4017 87.75 63.45 74.96
With the nearest neighbours (Å) after each atom.
Fractional positions:
1 Pm 0.2214 0.3414 0.2158  6 Mg 3.24-3.57
2 Pm 0.3757 0.7812 0.4673  6 Mg 3.12-3.46
3 Pm 0.6243 0.2188 0.5327  6 Mg 3.12-3.46
4 Pm 0.7786 0.6586 0.7842  6 Mg 3.24-3.57
5 Mg 0.0764 0.6900 0.1573  2 Mg 2.94-3.08
6 Mg 0.6263 0.5028 0.2447  2 Mg 2.93-2.94, 2 Pm 3.12-3.24
7 Mg 0.7802 0.9230 0.5166  2 Mg 2.82-3.08, 1 Tm 3.14, 1 Pm 3.14
8 Mg 0.9236 0.3100 0.8427  2 Mg 2.94-3.08
9 Mg 0.2198 0.0770 0.4834  2 Mg 2.82-3.08, 1 Tm 3.14, 1 Pm 3.14
10 Mg 0.3737 0.4972 0.7553  2 Mg 2.93-2.94, 2 Pm 3.12-3.24
11 Mg 0.5000 0.0000 0.0000  2 Mg 2.82, 2 Tm 2.86
12 Tm 0.0000 0.0000 0.0000  4 Mg 2.86-3.14

Output
- Crystal system: monoclinic



3.
VASP calculation (GGA-PBE) on a relaxed structure of Pm5TmMg.

Lattice parameters (Å, degrees): 6.6175 6.6974 12.3248 101.73 90.00 119.61
With the nearest neighbours (Å) after each atom.
Fractional positions:
1 Pm 0.8243 0.5294 0.8142  1 Mg 3.16, 4 Pm 3.34-3.52, 2 Tm 3.38-3.49
2 Pm 0.6960 0.3172 0.5382  4 Pm 3.34-3.65, 1 Mg 3.55
3 Pm 0.3788 0.6828 0.9618  4 Pm 3.34-3.65, 1 Mg 3.55
4 Pm 0.3040 0.6828 0.4618  4 Pm 3.34-3.65, 1 Mg 3.55
5 Pm 0.2121 0.0000 0.2500  2 Tm 3.30-3.32, 4 Pm 3.36-3.52, 2 Mg 3.39
6 Pm 0.7879 0.0000 0.7500  2 Tm 3.30-3.32, 4 Pm 3.36-3.52, 2 Mg 3.39
7 Pm 0.1757 0.4706 0.1858  1 Mg 3.16, 4 Pm 3.34-3.52, 2 Tm 3.38-3.49
8 Pm 0.7051 0.5294 0.3142  1 Mg 3.16, 4 Pm 3.34-3.52, 2 Tm 3.39-3.49
9 Pm 0.6212 0.3172 0.0382  4 Pm 3.34-3.65, 1 Mg 3.55
10 Pm 0.2949 0.4706 0.6858  1 Mg 3.16, 4 Pm 3.34-3.52, 2 Tm 3.39-3.49
11 Mg 0.0000 0.0000 0.0000  4 Pm 3.16-3.39
12 Mg 0.0000 0.0000 0.5000  4 Pm 3.16-3.39
13 Tm 0.7108 0.0000 0.2500  6 Pm 3.30-3.49, 2 Mg 3.63
14 Tm 0.2892 0.0000 0.7500  6 Pm 3.30-3.49, 2 Mg 3.63

Output
- Crystal system: monoclinic



4.
VASP calculation (GGA-PBE) on a relaxed structure of Pm2Tm8Mg.

Lattice parameters (Å, degrees): 5.4714 7.4338 9.6489 112.66 106.47 90.00
With the nearest neighbours (Å) after each atom.
Fractional positions:
1 Tm 0.0000 0.2573 0.0000  2 Mg 3.34, 7 Tm 3.57-3.61
2 Tm 0.0000 0.7427 0.0000  2 Mg 3.34, 7 Tm 3.57-3.61
3 Tm 0.6379 0.4052 0.2758  1 Mg 3.07, 2 Pm 3.37
4 Tm 0.1777 0.1777 0.3554  8 Tm 3.45-3.57, 4 Pm 3.50-3.73
5 Tm 0.3621 0.1295 0.7242  1 Mg 3.07, 2 Pm 3.37
6 Tm 0.3621 0.5948 0.7242  1 Mg 3.07, 2 Pm 3.37
7 Tm 0.8223 0.8223 0.6446  8 Tm 3.45-3.57, 4 Pm 3.50-3.73
8 Tm 0.6379 0.8705 0.2758  1 Mg 3.07, 2 Pm 3.37
9 Pm 0.1939 0.6938 0.3877  12 Tm 3.37-3.75
10 Pm 0.8061 0.3062 0.6123  12 Tm 3.37-3.75
11 Mg 0.5000 0.0000 0.0000  8 Tm 3.07-3.34

Output
- Crystal system: orthorhombic
- Energy above the most stable polymorph in this dataset: 0.00 kJ/mol of atoms



Number 1: raw total energy -4.148 eV/atom. Number 2: raw total energy -2.759 eV/atom. Number 3: raw total energy -4.093 eV/atom. Number 4: raw total energy -4.150 eV/atom.